Entry 1:
# PrMgCrH6 (PBE, optimized geometry)
# E_tot = -38.4 eV/f.u.
# ρ = 4.30 g/cm³
data_PrMgCrH6
_cell_length_a 4.6437
_cell_length_b 4.6437
_cell_length_c 4.6180
_cell_angle_alpha 90.00
_cell_angle_beta 90.00
_cell_angle_gamma 120.00
_space_group_name_H-M_alt 'P -6 m 2'
_space_group_IT_number 187
_space_group_name_Hall 'P -6 2'
loop_
_atom_site_label
_atom_site_type_symbol
_atom_site_fract_x
_atom_site_fract_y
_atom_site_fract_z
Pr1 Pr 0.0000 0.0000 0.0000
Mg1 Mg 0.3333 0.6667 0.5000
Cr1 Cr 0.6667 0.3333 0.5000
H1 H 0.5167 0.0334 0.2335



Entry 2:
# PrMg2CrH8 (PBE, optimized geometry)
# E_tot = -47.4 eV/f.u.
# ρ = 3.66 g/cm³
data_PrMg2CrH8
_cell_length_a 4.556
_cell_length_b 4.594
_cell_length_c 5.674
_cell_angle_alpha 89.94
_cell_angle_beta 72.53
_cell_angle_gamma 89.89
_space_group_name_H-M_alt 'P -1'
_space_group_IT_number 2
loop_
_space_group_symop_operation_xyz
'x,y,z'
'-x,-y,-z'
loop_
_atom_site_label
_atom_site_type_symbol
_atom_site_fract_x
_atom_site_fract_y
_atom_site_fract_z
Pr1 Pr 0.000 0.000 0.000
Mg1 Mg 0.411 0.501 0.285
Cr1 Cr 0.500 0.000 0.500
H1 H 0.214 0.500 0.035
H2 H 0.226 0.258 0.611
H3 H 0.230 0.740 0.613
H4 H 0.426 0.997 0.215



Entry 3:
# Mg2CrHPt (PBE, optimized geometry)
# E_tot = -23.5 eV/f.u.
# ρ = 7.26 g/cm³
data_Mg2CrHPt
_cell_length_a 4.246
_cell_length_b 4.246
_cell_length_c 3.765
_cell_angle_alpha 90.00
_cell_angle_beta 90.00
_cell_angle_gamma 90.00
_space_group_name_H-M_alt 'P 4/m m m'
_space_group_IT_number 123
_space_group_name_Hall '-P 4 2'
loop_
_atom_site_label
_atom_site_type_symbol
_atom_site_fract_x
_atom_site_fract_y
_atom_site_fract_z
Mg1 Mg 0.000 0.500 0.000
Cr1 Cr 0.000 0.000 0.500
H1 H 0.000 0.000 0.000
Pt1 Pt 0.500 0.500 0.500



Entry 4:
# MgCrHPt2 (PBE, optimized geometry)
# E_tot = -28.2 eV/f.u.
# ρ = 11.95 g/cm³
data_MgCrHPt2
_cell_length_a 4.092
_cell_length_b 4.092
_cell_length_c 3.881
_cell_angle_alpha 90.00
_cell_angle_beta 90.00
_cell_angle_gamma 90.00
_space_group_name_H-M_alt 'P 4/m m m'
_space_group_IT_number 123
_space_group_name_Hall '-P 4 2'
loop_
_atom_site_label
_atom_site_type_symbol
_atom_site_fract_x
_atom_site_fract_y
_atom_site_fract_z
Mg1 Mg 0.000 0.000 0.000
Cr1 Cr 0.500 0.500 0.000
H1 H 0.500 0.500 0.500
Pt1 Pt 0.000 0.500 0.500



Entry 5:
# MgCrHS2 (PBE, optimized geometry)
# E_tot = -25.1 eV/f.u.
# ρ = 3.11 g/cm³
data_MgCrHS2
_cell_length_a 4.673
_cell_length_b 4.673
_cell_length_c 3.457
_cell_angle_alpha 90.00
_cell_angle_beta 90.00
_cell_angle_gamma 90.00
_space_group_name_H-M_alt 'P 4/m m m'
_space_group_IT_number 123
_space_group_name_Hall '-P 4 2'
loop_
_atom_site_label
_atom_site_type_symbol
_atom_site_fract_x
_atom_site_fract_y
_atom_site_fract_z
Mg1 Mg 0.000 0.000 0.000
Cr1 Cr 0.500 0.500 0.500
H1 H 0.500 0.500 0.000
S1 S 0.000 0.500 0.500



Entry 6:
# SmMg2CrH8 (PBE, optimized geometry)
# E_tot = -45.7 eV/f.u.
# ρ = 4.10 g/cm³
data_SmMg2CrH8
_cell_length_a 3.411
_cell_length_b 6.485
_cell_length_c 4.739
_cell_angle_alpha 90.00
_cell_angle_beta 90.22
_cell_angle_gamma 90.00
_space_group_name_H-M_alt 'P 1 2/m 1'
_space_group_IT_number 10
loop_
_space_group_symop_operation_xyz
'x,y,z'
'-x,-y,-z'
'-x,y,-z'
'x,-y,z'
loop_
_atom_site_label
_atom_site_type_symbol
_atom_site_fract_x
_atom_site_fract_y
_atom_site_fract_z
Sm1 Sm 0.000 0.000 0.000
Mg1 Mg 0.500 0.272 0.500
Cr1 Cr 0.000 0.500 0.000
H1 H 0.000 0.295 0.249
H2 H 0.498 0.000 0.717
H3 H 0.499 0.500 0.803



Entry 7:
# Sr2MgCrH6 (PBE, optimized geometry)
# E_tot = -36.8 eV/f.u.
# ρ = 3.83 g/cm³
data_Sr2MgCrH6
_cell_length_a 7.642
_cell_length_b 7.642
_cell_length_c 7.642
_cell_angle_alpha 90.00
_cell_angle_beta 90.00
_cell_angle_gamma 90.00
_space_group_name_H-M_alt 'F m -3 m'
_space_group_IT_number 225
_space_group_name_Hall '-F 4 2 3'
loop_
_atom_site_label
_atom_site_type_symbol
_atom_site_fract_x
_atom_site_fract_y
_atom_site_fract_z
Sr1 Sr 0.250 0.250 0.250
Mg1 Mg 0.000 0.000 0.000
Cr1 Cr 0.000 0.000 0.500
H1 H 0.000 0.000 0.260



Entry 8:
# Mn2CrH2 (PBE, optimized geometry)
# energy above the lowest structure with this stoichiometry = 0.000 eV/atom
# ρ = 7.34 g/cm³
data_Mn2CrH2
_cell_length_a 2.604
_cell_length_b 14.899
_cell_length_c 3.821
_cell_angle_alpha 90.00
_cell_angle_beta 90.00
_cell_angle_gamma 90.00
_space_group_name_H-M_alt 'C m c m'
_space_group_IT_number 63
_space_group_name_Hall '-C 2c 2'
loop_
_atom_site_label
_atom_site_type_symbol
_atom_site_fract_x
_atom_site_fract_y
_atom_site_fract_z
Mn1 Mn 0.000 0.037 0.250
Mn2 Mn 0.000 0.208 0.250
Cr1 Cr 0.000 0.386 0.250
H1 H 0.000 0.206 0.750
H2 H 0.000 0.377 0.750



Entry 9:
# Mn3CrH (PBE, optimized geometry)
# energy above the lowest structure with this stoichiometry = 0.012 eV/atom
# ρ = 7.82 g/cm³
data_Mn3CrH
_cell_length_a 4.127
_cell_length_b 5.248
_cell_length_c 4.324
_cell_angle_alpha 90.00
_cell_angle_beta 98.85
_cell_angle_gamma 90.00
_space_group_name_H-M_alt 'P 1 21/m 1'
_space_group_IT_number 11
loop_
_space_group_symop_operation_xyz
'x,y,z'
'-x,-y,-z'
'-x,y+1/2,-z'
'x,-y+1/2,z'
loop_
_atom_site_label
_atom_site_type_symbol
_atom_site_fract_x
_atom_site_fract_y
_atom_site_fract_z
Mn1 Mn 0.223 0.000 0.295
Mn2 Mn 0.268 0.250 0.812
Cr1 Cr 0.276 0.750 0.820
H1 H 0.499 0.250 0.502



Entry 10:
# MnCrH2 (PBE, optimized geometry)
# energy above the lowest structure with this stoichiometry = 0.188 eV/atom
# ρ = 6.00 g/cm³
data_MnCrH2
_cell_length_a 3.902
_cell_length_b 3.902
_cell_length_c 7.921
_cell_angle_alpha 90.00
_cell_angle_beta 90.00
_cell_angle_gamma 90.00
_space_group_name_H-M_alt 'I -4 2 d'
_space_group_IT_number 122
_space_group_name_Hall 'I -4 2bw'
loop_
_atom_site_label
_atom_site_type_symbol
_atom_site_fract_x
_atom_site_fract_y
_atom_site_fract_z
Mn1 Mn 0.000 0.000 0.000
Cr1 Cr 0.000 0.000 0.500
H1 H 0.243 0.250 0.125



Entry 11:
# MnCr5H4 (PBE, optimized geometry)
# E_tot = -70.2 eV/f.u.
# ρ = 6.90 g/cm³
data_MnCr5H4
_cell_length_a 2.610
_cell_length_b 5.242
_cell_length_c 5.899
_cell_angle_alpha 77.57
_cell_angle_beta 77.28
_cell_angle_gamma 89.95
_space_group_name_H-M_alt 'P -1'
_space_group_IT_number 2
loop_
_space_group_symop_operation_xyz
'x,y,z'
'-x,-y,-z'
loop_
_atom_site_label
_atom_site_type_symbol
_atom_site_fract_x
_atom_site_fract_y
_atom_site_fract_z
Mn1 Mn 0.000 0.000 0.000
Cr1 Cr 0.000 0.500 0.000
Cr2 Cr 0.332 0.182 0.332
Cr3 Cr 0.340 0.659 0.330
H1 H 0.164 0.080 0.670
H2 H 0.499 0.242 0.002



Entry 12:
# Mn8CrH6 (PBE, optimized geometry)
# E_tot = -103.0 eV/f.u.
# ρ = 7.29 g/cm³
data_Mn8CrH6
_cell_length_a 7.1198
_cell_length_b 7.1198
_cell_length_c 2.5825
_cell_angle_alpha 90.00
_cell_angle_beta 90.00
_cell_angle_gamma 120.00
_space_group_name_H-M_alt 'P -3'
_space_group_IT_number 147
loop_
_space_group_symop_operation_xyz
'x,y,z'
'-x,-y,-z'
'-y,x-y,z'
'y,-x+y,-z'
'-x+y,-x,z'
'x-y,x,-z'
loop_
_atom_site_label
_atom_site_type_symbol
_atom_site_fract_x
_atom_site_fract_y
_atom_site_fract_z
Mn1 Mn 0.0365 0.6918 0.2668
Mn2 Mn 0.3333 0.6667 0.7534
Cr1 Cr 0.0000 0.0000 0.0000
H1 H 0.1405 0.4809 0.2434